1.
Compound: YGaSnHg2
Source: Alexandria via LeMat-Bulk
Functional: PBE
Structure: relaxed

Cell and atoms, written as POSCAR:
```
YGaSnHg2
1.0
-4.972 1.061 0.030
-0.371 -1.591 -5.193
-1.003 -4.745 1.526
Y Hg Ga Sn
1 2 1 1
direct
0.500 0.500 0.500
0.000 0.000 0.500
0.500 0.000 0.000
0.000 0.000 0.000
0.000 0.500 0.000
```

Summary:
N(E_F)   3.4 states/eV/cell
Symmetry   P4/mmm
Formation energy from the elements   0.1084 eV per atom
Crystal system   tetragonal



2.
Compound: Pu3HPb2
Source: Alexandria via LeMat-Bulk
Functional: PBE
Structure: relaxed

Cell and atoms, written as POSCAR:
```
Pu3HPb2
1.0
-6.138 1.065 0.438
0.548 0.290 6.968
1.076 6.772 -1.387
Pu H Pb
6 2 4
direct
0.000 0.153 0.847
0.500 0.153 0.847
0.250 0.646 0.646
0.750 0.354 0.354
0.500 0.847 0.153
0.000 0.847 0.153
0.250 0.907 0.907
0.750 0.093 0.093
0.750 0.547 0.833
0.250 0.167 0.453
0.250 0.453 0.167
0.750 0.833 0.547
```

Summary:
N(E_F)   50.1 states/eV/cell
Symmetry   Cmcm
Crystal system   orthorhombic
Relative energy among the computed polymorphs   0.0 kJ/mol of formula units



3.
Compound: Hf6In3Ga
Source: Alexandria via LeMat-Bulk
Functional: PBE
Structure: relaxed

Cell and atoms, written as POSCAR:
```
Hf6In3Ga
1.0
-2.460 -0.652 -4.808
7.815 0.473 -4.063
0.983 -9.381 0.799
Hf In Ga
12 6 2
direct
0.591 0.174 0.960
0.582 0.201 0.555
0.661 0.372 0.261
0.339 0.628 0.739
0.418 0.799 0.445
0.409 0.826 0.040
0.091 0.326 0.460
0.082 0.299 0.055
0.161 0.128 0.761
0.839 0.872 0.239
0.918 0.701 0.945
0.909 0.674 0.540
0.633 0.917 0.742
0.500 0.500 0.000
0.367 0.083 0.258
0.133 0.583 0.242
0.000 0.000 0.500
0.867 0.417 0.758
0.500 0.500 0.500
0.000 0.000 0.000
```

Summary:
N(E_F)   17.3 states/eV/cell
Symmetry   P2_1/c
Formation energy from the elements   0.0258 eV per atom
Crystal system   monoclinic



4.
Compound: AlSi2Te
Source: Alexandria via LeMat-Bulk
Functional: PBE
Structure: relaxed

Cell and atoms, written as POSCAR:
```
AlSi2Te
1.0
-2.949 0.390 0.784
1.146 -0.415 2.824
1.340 8.665 0.728
Si Te Al
2 1 1
direct
0.000 0.000 0.002
0.500 0.500 0.165
0.000 0.000 0.522
0.500 0.500 0.810
```

Summary:
N(E_F)   1.4 states/eV/cell
Symmetry   Cmm2
E_form (uncorrected)   0.40 eV per atom
Crystal system   orthorhombic
Relative energy among the computed polymorphs   102.5 kJ/mol of formula units